(1)
Here is a relaxed MnFeCo crystal from Alexandria via LeMat-Bulk. Energies are from PBE.

calculated density: 8.7 g/cm3
energy relative to the lowest polymorph listed for this composition: 29 meV/atom
total magnetic moment: 1.28 μB per cell
DFT formation energy: 0.07 eV per atom
volume: 32.4 Å³/cell

Geometry as POSCAR:
```
MnFeCo
1.0
-1.232 1.232 5.330
1.232 -1.232 5.330
1.232 1.232 -5.330
Mn Fe Co
1 1 1
Cartesian
0.000 0.000 0.000
0.000 0.000 7.124
0.000 0.000 3.592
```


(2)
Here is a relaxed KMgPb2 crystal from Alexandria via LeMat-Bulk. Energies are from PBE.

calculated density: 6.1 g/cm3
total magnetic moment: 0.00 μB per cell
DFT formation energy: 0.01 eV per atom
volume: 131.1 Å³/cell

Geometry as POSCAR:
```
KMgPb2
1.0
-1.795 3.167 5.767
1.795 -3.167 5.767
1.795 3.167 -5.767
K Mg Pb
1 1 2
Cartesian
0.000 0.000 0.000
0.000 0.000 5.767
1.795 0.000 3.233
0.000 3.167 2.534
```


(3)
Here is a relaxed KRbGe12 crystal from Alexandria via LeMat-Bulk. Energies are from PBE.

calculated density: 3.1 g/cm3
total magnetic moment: 0.00 μB per cell
DFT formation energy: 0.35 eV per atom
volume: 528.2 Å³/cell

Geometry as POSCAR:
```
KRbGe12
1.0
6.650 0.000 0.000
0.000 6.650 0.000
0.000 0.000 11.944
K Rb Ge
1 1 12
Cartesian
0.000 0.000 0.000
0.000 0.000 5.972
1.274 3.325 2.977
1.274 3.325 8.967
3.325 1.274 2.977
3.325 1.274 8.967
3.325 3.325 1.282
3.325 3.325 4.683
3.325 3.325 7.261
3.325 3.325 10.663
3.325 5.376 2.977
3.325 5.376 8.967
5.376 3.325 2.977
5.376 3.325 8.967
```


(4)
Here is a relaxed AcGa3Pt2 crystal from Alexandria via LeMat-Bulk. Energies are from PBE.

calculated density: 11.4 g/cm3
energy relative to the lowest polymorph listed for this composition: 0 meV/atom
total magnetic moment: 0.00 μB per cell
DFT formation energy: -0.85 eV per atom
volume: 361.2 Å³/cell

Geometry as POSCAR:
```
AcGa3Pt2
1.0
8.434 -2.171 0.000
8.434 2.171 0.000
-3.182 0.000 9.861
Ac Ga Pt
3 9 6
Cartesian
0.000 0.000 0.000
0.407 0.000 6.996
13.279 0.000 2.866
-0.418 0.000 3.591
2.374 0.000 3.827
5.478 0.000 0.373
3.654 0.000 7.896
6.843 0.000 4.931
10.033 0.000 1.965
8.209 0.000 9.488
11.313 0.000 6.034
14.104 0.000 6.270
2.962 0.000 1.209
4.309 0.000 5.442
7.374 0.000 2.203
6.312 0.000 7.658
9.378 0.000 4.419
10.725 0.000 8.652
```


(5)
Here is a relaxed Ga2BW crystal from Alexandria via LeMat-Bulk. Energies are from PBE.

calculated density: 9.9 g/cm3
total magnetic moment: 0.00 μB per cell
DFT formation energy: 0.63 eV per atom
volume: 112.1 Å³/cell

Geometry as POSCAR:
```
Ga2BW
1.0
-3.501 3.501 2.286
3.501 -3.501 2.286
3.501 3.501 -2.286
Ga B W
4 2 2
Cartesian
5.251 1.191 -0.571
1.191 1.750 0.571
-1.750 2.309 1.714
2.309 1.750 2.857
0.000 0.000 0.000
0.000 3.501 1.143
3.501 0.000 1.143
0.000 0.000 2.286
```


(6)
Here is a relaxed LiTb2Mg crystal from Alexandria via LeMat-Bulk. Energies are from PBE.

calculated density: 4.9 g/cm3
energy relative to the lowest polymorph listed for this composition: 167 meV/atom
total magnetic moment: 0.00 μB per cell
DFT formation energy: 0.19 eV per atom
volume: 117.3 Å³/cell

Geometry as POSCAR:
```
LiTb2Mg
1.0
1.685 0.973 11.924
-1.685 0.973 11.924
0.000 -1.946 11.924
Li Tb Mg
1 2 1
Cartesian
0.000 0.000 0.000
0.000 0.000 3.266
0.000 0.000 32.507
0.000 0.000 17.886
```


(7)
Here is a relaxed Si2C2Se crystal from Alexandria via LeMat-Bulk. Energies are from PBE.

calculated density: 4.8 g/cm3
energy relative to the lowest polymorph listed for this composition: 0 meV/atom
total magnetic moment: 0.00 μB per cell
ΔE_f (raw): 1.040 eV per atom
volume: 55.3 Å³/cell

Geometry as POSCAR:
```
Si2C2Se
1.0
-1.974 1.974 3.545
1.974 -1.974 3.545
1.974 1.974 -3.545
Si C Se
2 2 1
Cartesian
1.974 0.000 1.773
0.000 1.974 1.773
0.000 0.000 0.772
0.000 0.000 6.318
0.000 0.000 3.545
```


(8)
Here is a relaxed Dy2AlZn2Pd5 crystal from Alexandria via LeMat-Bulk. Energies are from PBE.

calculated density: 9.6 g/cm3
total magnetic moment: 0.00 μB per cell
DFT formation energy: -0.74 eV per atom
volume: 349.9 Å³/cell

Geometry as POSCAR:
```
Dy2AlZn2Pd5
1.0
9.773 0.000 0.000
0.000 9.773 0.000
0.000 0.000 3.664
Dy Al Zn Pd
4 2 4 10
Cartesian
1.705 3.182 0.000
3.182 8.069 0.000
6.591 1.705 0.000
8.069 6.591 0.000
0.000 0.000 0.000
4.887 4.887 0.000
1.212 6.099 0.000
3.674 1.212 0.000
6.099 8.561 0.000
8.561 3.674 0.000
0.000 4.887 1.832
0.605 7.820 1.832
1.954 0.605 1.832
2.933 5.491 1.832
4.282 2.933 1.832
4.887 0.000 1.832
5.491 6.840 1.832
6.840 4.282 1.832
7.820 9.169 1.832
9.169 1.954 1.832
```


(9)
Here is a relaxed NiHgCl2 crystal from Alexandria via LeMat-Bulk. Energies are from PBE.

calculated density: 5.9 g/cm3
energy relative to the lowest polymorph listed for this composition: 576 meV/atom
total magnetic moment: 0.78 μB per cell
ΔE_f (raw): 0.149 eV per atom
volume: 93.5 Å³/cell

Geometry as POSCAR:
```
NiHgCl2
1.0
3.349 -3.743 0.000
3.349 3.743 0.000
-3.189 0.000 3.731
Ni Hg Cl
1 1 2
Cartesian
0.000 0.000 0.000
3.349 0.000 0.000
0.080 1.872 1.866
0.080 -1.872 1.866
```


(10)
Here is a relaxed NiPd3Se6 crystal from Alexandria via LeMat-Bulk. Energies are from PBE.

calculated density: 6.2 g/cm3
energy relative to the lowest polymorph listed for this composition: 133 meV/atom
total magnetic moment: 0.00 μB per cell
ΔE_f (raw): -0.123 eV per atom
volume: 229.2 Å³/cell

Geometry as POSCAR:
```
NiPd3Se6
1.0
4.695 0.000 0.000
0.711 6.983 0.000
1.706 2.841 6.990
Ni Pd Se
1 3 6
Cartesian
0.000 0.000 0.000
1.208 4.912 3.495
3.869 7.586 6.237
3.243 2.238 0.753
0.872 1.649 1.388
2.607 3.432 4.922
2.814 4.569 1.642
4.298 5.255 5.349
4.505 6.392 2.069
6.240 8.175 5.602
```


(11)
Here is a relaxed Tb12Pr3Cd crystal from Alexandria via LeMat-Bulk. Energies are from PBE.

calculated density: 7.9 g/cm3
total magnetic moment: 0.00 μB per cell
DFT formation energy: 0.00 eV per atom
volume: 511.6 Å³/cell

Geometry as POSCAR:
```
Tb12Pr3Cd
1.0
5.025 0.000 0.000
0.000 5.025 0.000
0.000 0.000 20.260
Tb Pr Cd
12 3 1
Cartesian
0.000 0.000 0.000
0.000 0.000 4.914
0.000 0.000 10.130
0.000 0.000 15.346
0.000 2.512 2.418
0.000 2.512 7.551
0.000 2.512 12.710
0.000 2.512 17.842
2.512 0.000 2.418
2.512 0.000 7.551
2.512 0.000 12.710
2.512 0.000 17.842
2.512 2.512 4.996
2.512 2.512 10.130
2.512 2.512 15.264
2.512 2.512 0.000
```


(12)
Here is a relaxed MgTl2ZnSe crystal from Alexandria via LeMat-Bulk. Energies are from PBE.

calculated density: 6.2 g/cm3
total magnetic moment: 0.00 μB per cell
ΔE_f (raw): 0.278 eV per atom
volume: 155.4 Å³/cell

Geometry as POSCAR:
```
MgTl2ZnSe
1.0
5.564 0.000 0.000
0.000 5.564 0.000
0.000 0.000 5.020
Mg Tl Zn Se
1 2 1 1
Cartesian
0.000 0.000 0.000
0.000 2.782 0.000
2.782 0.000 0.000
0.000 0.000 2.510
2.782 2.782 2.510
```


> Which of these has the highest calculated density?

AcGa3Pt2